UTl2NiO6 | the Alexandria database | GGA+U | relaxed; VASP energy = -64.1 eV for the cell shown; total magnetization = 1.87 Bohr magnetons per cell
1.0
4.113 -4.119 0.000
4.113 4.119 0.000
-4.102 0.000 4.131
U Tl Ni O
1 2 1 6
Direct
0.000 0.000 0.000
0.251 0.749 0.500
0.749 0.251 0.500
0.500 0.500 0.000
0.251 0.749 0.000
0.252 0.252 0.001
0.252 0.252 0.504
0.748 0.748 0.496
0.748 0.748 0.999
0.749 0.251 0.000